Computed, not measured: a relaxed structure of BeTe at the GGA-PBE level of DFT.

crystal system = monoclinic
offset from the most stable computed form = 224.0 meV/atom

a = 7.124 Å, b = 7.124 Å, c = 7.921 Å
α = 118.42°, β = 118.42°, γ = 32.05°
Fractional positions:
1 Be 0.000 0.000 0.000
2 Be 0.189 0.189 0.774
3 Be 0.589 0.589 0.878
4 Te 0.598 0.598 0.184
5 Te 0.792 0.792 0.877
6 Te 0.994 0.994 0.664